Below is a relaxed CaNd3Pd2 crystal, with properties calculated at the PBE-GGA level.

The calculation puts the total magnetic moment at 0.00 μB/atom. Its calculated formation energy is -49.0 kJ/mol of atoms. The space group is No. 26.

abc: 3.9633 8.6793 9.8964
angles: 90.00 90.00 90.00
Last column: nearest neighbours and their distance in Å.
Atoms (fractional coordinates):
Nd1 0.0000 0.4870 0.9396  4 Pd 3.11-3.16
Nd2 0.0000 0.9870 0.0604  4 Pd 3.11-3.16
Nd3 0.5000 0.1669 0.7905  3 Pd 2.93-3.08
Nd4 0.0000 0.3430 0.2947  3 Pd 2.92-2.99
Nd5 0.5000 0.6669 0.2095  3 Pd 2.93-3.08
Nd6 0.0000 0.8430 0.7053  3 Pd 2.92-2.99
Pd1 0.5000 0.7606 0.9098  7 Nd 2.92-3.16
Pd2 0.0000 0.2299 0.5799  3 Nd 2.93-2.99, 4 Ca 3.14-3.15
Pd3 0.5000 0.2606 0.0902  7 Nd 2.92-3.16
Pd4 0.0000 0.7299 0.4201  3 Nd 2.93-2.99, 4 Ca 3.14-3.15
Ca1 0.5000 0.0125 0.4238  4 Pd 3.14-3.15
Ca2 0.5000 0.5125 0.5762  4 Pd 3.14-3.15


Below is a relaxed Li2BeCr crystal, with properties calculated at the PBE-GGA level.

The calculation puts the total magnetic moment at 0.37 μB/atom. Its calculated formation energy is 34.9 kJ/mol of atoms. The space group is No. 6.

abc: 4.0641 2.2741 5.4096
angles: 77.99 90.00 90.00
Last column: nearest neighbours and their distance in Å.
Atoms (fractional coordinates):
Li1 0.0000 0.0506 0.9991  2 Li 2.27, 1 Be 2.43
Li2 0.5000 0.3804 0.2505  2 Li 2.27
Be1 0.0000 0.3345 0.5399  2 Be 2.27, 1 Li 2.43, 4 Cr 2.48-2.51
Cr1 0.5000 0.7345 0.7106  2 Cr 2.27, 4 Be 2.48-2.51


Below is a relaxed Er2CdAs crystal, with properties calculated at the PBE-GGA level.

The calculation puts the total magnetic moment at 0.00 μB/atom. Its calculated formation energy is -76.2 kJ/mol of atoms. The space group is No. 166.

abc: 3.9230 3.9230 8.2596
angles: 76.26 76.26 60.00
Last column: nearest neighbours and their distance in Å.
Atoms (fractional coordinates):
Er1 0.7368 0.7368 0.7897  3 As 2.81
Er2 0.2632 0.2632 0.2103  3 As 2.81
As1 0.0000 0.0000 0.0000  6 Er 2.81
Cd1 0.5000 0.5000 0.5000  6 Er 3.23